Record 1
Below is an optimized crystal structure of Ba2ZrMn, with properties calculated at the GGA-PBE level.

extended XYZ file:
```
4
Lattice="3.7729 0.0000 0.0000 0.0000 3.7675 0.0811 0.0000 3.6100 9.9183" Properties=species:S:1:pos:R:3 pbc="T T T"
Zr 1.8864 5.5440 6.6718
Ba 0.0000 3.6012 9.3023
Ba 1.8864 1.8494 3.2265
Mn 0.0000 3.6815 5.7167
```

Formation energy from the elements ... 0.3894 eV per atom
Space group ... Pm, No. 6

Record 2
Below is an optimized crystal structure of Pa2FeMoN6, with properties calculated at the GGA-PBE level.

extended XYZ file:
```
10
Lattice="4.8270 0.0000 0.0000 0.0000 5.2743 0.0000 0.0000 0.0000 5.2743" Properties=species:S:1:pos:R:3 pbc="T T T"
Pa 4.7786 2.6371 0.0000
Pa 4.7786 0.0000 2.6371
N 0.9624 2.6371 2.6371
N 3.5324 3.9465 1.3278
N 3.5324 3.9465 3.9465
N 0.9076 0.0000 0.0000
N 3.5324 1.3278 3.9465
N 3.5324 1.3278 1.3278
Fe 2.7573 0.0000 0.0000
Mo 2.8047 2.6371 2.6371
```

E_form (uncorrected) ... -0.706 eV/atom
Space group ... P4mm, No. 99

Record 3
Below is an optimized crystal structure of HoTm4Tl5, with properties calculated at the GGA-PBE level.

extended XYZ file:
```
10
Lattice="3.7103 0.0000 0.0000 0.0000 3.7103 0.0000 0.0000 0.0000 19.3218" Properties=species:S:1:pos:R:3 pbc="T T T"
Tl 1.8552 1.8552 5.8176
Tl 1.8552 1.8552 13.5042
Tl 1.8552 1.8552 1.9661
Tl 1.8552 1.8552 17.3557
Tl 1.8552 1.8552 9.6609
Tm 0.0000 0.0000 11.5837
Tm 0.0000 0.0000 3.8911
Tm 0.0000 0.0000 7.7381
Tm 0.0000 0.0000 15.4307
Ho 0.0000 0.0000 0.0000
```

Formation energy from the elements ... -0.2997 eV per atom
Space group ... P4/mmm, No. 123

Record 4
Below is an optimized crystal structure of Cs2HgPdBr6, with properties calculated at the GGA-PBE level.

extended XYZ file:
```
10
Lattice="8.0556 0.0000 0.0000 0.0000 8.0556 0.0000 4.0278 4.0278 5.5865" Properties=species:S:1:pos:R:3 pbc="T T T"
Hg 0.0000 0.0000 0.0000
Cs 4.0278 8.0556 2.7932
Cs 8.0556 4.0278 2.7932
Br 8.0556 8.0556 2.5248
Br 5.7910 5.7910 0.0000
Br 2.2645 2.2645 0.0000
Br 4.0278 4.0278 3.0616
Br 2.2645 5.7910 0.0000
Br 5.7910 2.2645 0.0000
Pd 4.0278 4.0278 0.0000
```

E_form (uncorrected) ... -0.979 eV/atom
Space group ... I4/mmm, No. 139

Record 5
Below is an optimized crystal structure of K2CuF4, with properties calculated at the GGA-PBE level.

extended XYZ file:
```
7
Lattice="-0.2619 1.5772 3.8004 -4.1147 -0.1019 -0.2413 -2.1857 -5.2853 4.2793" Properties=species:S:1:pos:R:3 pbc="T T T"
F -0.1310 0.7886 1.9002
F -2.0573 -0.0510 -0.1207
F -4.3758 -0.3744 4.3268
F -2.1865 -3.4356 3.5116
K -4.3748 -2.8187 5.3413
K -2.1876 -0.9913 2.4971
Cu 0.0000 0.0000 0.0000
```

E_form (uncorrected) ... -2.297 eV/atom
Space group ... I4/mmm, No. 139

Record 6
Below is an optimized crystal structure of Li2PmGaSn2, with properties calculated at the GGA-PBE level.

extended XYZ file:
```
12
Lattice="4.4733 0.0000 0.0000 0.0000 7.4425 0.0000 0.0000 0.0000 8.5202" Properties=species:S:1:pos:R:3 pbc="T T T"
Sn 2.2367 5.8378 5.6445
Sn 2.2367 2.1165 2.8757
Sn 0.0000 5.4180 1.3258
Sn 0.0000 1.6967 7.1943
Li 0.0000 2.5593 1.2879
Li 2.2367 0.0964 0.7123
Li 2.2367 3.8176 7.8078
Li 0.0000 6.2805 7.2323
Ga 2.2367 1.3260 5.6327
Ga 2.2367 5.0473 2.8875
Pm 0.0000 3.7083 4.6662
Pm 0.0000 7.4295 3.8540
```

Formation energy from the elements ... -0.4582 eV per atom
Space group ... Pmc2_1, No. 26